Entry from Alexandria: a relaxed structure of NaVTe2O8 (GGA+U).

calculated total energy	-5.769	eV per atom
crystal system	orthorhombic
total moment	0.00	μB/f.u.

a = 6.5850 Å, b = 6.9360 Å, c = 6.4780 Å
α = 90.00°, β = 90.00°, γ = 90.00°
Closest atoms and distances in Å follow each position.
Space group Cmmm (No. 65)
One atom of each set of equivalent atoms:
Na: 0.0000 0.0000 0.0000  6 O 2.24-2.26
V: 0.0000 0.0000 0.5000  6 O 1.88-2.05
Te: 0.0000 0.5000 0.2505  6 O 2.02-2.15
O: 0.0000 0.2952 0.5000  1 V 2.05, 2 Te 2.15
O: 0.0000 0.3229 0.0000  2 Te 2.04, 1 Na 2.24
O: 0.1950 0.0000 0.2875  1 V 1.88, 1 Te 2.02

Entry from Alexandria: a relaxed structure of Na2VTeO5 (GGA+U).

calculated total energy	-5.735	eV per atom
crystal system	orthorhombic
total moment	0.00	μB/f.u.

a = 2.9929 Å, b = 13.2032 Å, c = 12.5327 Å
α = 90.00°, β = 90.00°, γ = 90.00°
Closest atoms and distances in Å follow each position.
Space group Cmc2_1 (No. 36)
One atom of each set of equivalent atoms:
Na: 0.0000 0.0247 0.0000  6 O 2.33-2.41
Na: 0.0000 0.1836 0.6136  4 O 2.32-2.56
V: 0.0000 0.2648 0.3882  1 O 1.69
Te: 0.0000 0.4681 0.7577  2 O 1.89-1.90
O: 0.0000 0.1390 0.4146  1 V 1.69
O: 0.0000 0.2050 0.9880  2 V 1.99
O: 0.0000 0.2373 0.7902  2 V 1.94
O: 0.0000 0.4318 0.3653  1 Te 1.89
O: 0.0000 0.4550 0.1291  1 Te 1.90

Entry from Alexandria: a relaxed structure of NaV2TeO6 (GGA+U).

calculated total energy	-6.416	eV per atom
crystal system	monoclinic
total moment	1.01	μB/f.u.

a = 11.5245 Å, b = 12.4782 Å, c = 5.9434 Å
α = 90.00°, β = 112.94°, γ = 90.00°
Closest atoms and distances in Å follow each position.
Space group C2/c (No. 15)
One atom of each set of equivalent atoms:
Na: 0.0000 0.0618 0.2500  4 O 2.31-2.42
V: 0.2069 0.4354 0.2209  4 O 1.68-1.83
Te: 0.0000 0.2857 0.7500  2 O 2.19
O: 0.1351 0.0633 0.6568  1 V 1.68
O: 0.1492 0.3101 0.1110  1 V 1.72
O: 0.1539 0.4765 0.4610  2 V 1.80-1.83

Entry from Alexandria: a relaxed structure of Na2VTeO6 (GGA+U).

calculated total energy	-5.805	eV per atom
crystal system	tetragonal
total moment	0.00	μB/f.u.

a = 5.4804 Å, b = 5.4804 Å, c = 4.1079 Å
α = 90.00°, β = 90.00°, γ = 90.00°
Closest atoms and distances in Å follow each position.
Space group P4mm (No. 99)
One atom of each set of equivalent atoms:
Na: 0.0000 0.5000 0.0000  8 O 2.55-2.77
V: 0.0000 0.0000 0.5069  1 O 1.68
Te: 0.5000 0.5000 0.5603  6 O 2.01-2.09
O: 0.0000 0.0000 0.0987  1 V 1.68
O: 0.2410 0.2410 0.5950  1 V 1.90, 1 Te 2.01
O: 0.5000 0.5000 0.0685  2 Te 2.02-2.09

Entry from Alexandria: a relaxed structure of NaTeWO6 (GGA+U).

calculated total energy	-6.133	eV per atom
crystal system	trigonal
total moment	0.00	μB/f.u.

a = 5.4013 Å, b = 5.4013 Å, c = 10.4538 Å
α = 90.00°, β = 90.00°, γ = 120.00°
Closest atoms and distances in Å follow each position.
Space group P-31c (No. 163)
One atom of each set of equivalent atoms:
Na: 0.0000 0.0000 0.0000  6 O 2.57
Te: 0.3333 0.6667 0.2500  6 O 2.05
W: 0.3333 0.6667 0.7500  6 O 1.97
O: 0.0108 0.3908 0.6440  1 W 1.97, 1 Te 2.05

Entry from Alexandria: a relaxed structure of Na2Te4WO12 (GGA+U).

calculated total energy	-5.723	eV per atom
crystal system	monoclinic
total moment	0.00	μB/f.u.

a = 17.5216 Å, b = 5.8569 Å, c = 11.4885 Å
α = 90.00°, β = 104.96°, γ = 90.00°
Closest atoms and distances in Å follow each position.
Space group C2/c (No. 15)
One atom of each set of equivalent atoms:
Na: 0.2123 0.2266 0.2664  5 O 2.34-2.62
Te: 0.0937 0.2140 0.5994  3 O 1.88-2.01
Te: 0.1571 0.3316 0.9368  3 O 1.90-2.05
W: 0.0000 0.3367 0.2500  4 O 1.82-1.98
O: 0.0118 0.3844 0.6363  1 Te 1.88
O: 0.0238 0.1380 0.1430  1 W 1.82
O: 0.1112 0.3901 0.3386  1 W 1.98, 1 Te 2.03
O: 0.1591 0.1530 0.7552  1 Te 1.89
O: 0.1632 0.4818 0.5897  2 Te 2.01-2.05
O: 0.2404 0.0735 0.0704  1 Te 1.90

Entry from Alexandria: a relaxed structure of NaTeWO5 (GGA+U).

calculated total energy	-6.142	eV per atom
crystal system	monoclinic
total moment	0.00	μB/f.u.

a = 8.0539 Å, b = 9.8771 Å, c = 6.3153 Å
α = 90.00°, β = 115.38°, γ = 90.00°
Closest atoms and distances in Å follow each position.
Space group C2/c (No. 15)
One atom of each set of equivalent atoms:
Na: 0.0000 0.0800 0.2500  6 O 2.41-2.57
Te: 0.0000 0.4519 0.2500  2 O 2.01
W: 0.2500 0.2500 0.0000  6 O 1.92-1.97
O: 0.0000 0.2616 0.7500  2 W 1.96
O: 0.1556 0.2969 0.2320  1 W 1.97, 1 Te 2.01
O: 0.2186 0.0621 0.0518  1 W 1.92

Entry from Alexandria: a relaxed structure of Na2TeWO6 (GGA+U).

calculated total energy	-5.896	eV per atom
crystal system	tetragonal
total moment	0.00	μB/f.u.

a = 5.7070 Å, b = 5.7070 Å, c = 4.6144 Å
α = 90.00°, β = 90.00°, γ = 90.00°
Closest atoms and distances in Å follow each position.
Space group P4mm (No. 99)
One atom of each set of equivalent atoms:
Na: 0.0000 0.5000 0.0000  4 O 2.52
Te: 0.0000 0.0000 0.6162  1 O 1.86
W: 0.5000 0.5000 0.5750  5 O 1.79-1.93
O: 0.0000 0.0000 0.2124  1 Te 1.86
O: 0.2680 0.2680 0.6735  1 W 1.93
O: 0.5000 0.5000 0.1862  1 W 1.79